TcIr2Os: optimized geometry, GGA-PBE.

Results
Total energy = -9.868 eV/atom

Unit cell a=4.7534 b=4.7534 c=4.7278 alpha=80.50 beta=80.50 gamma=33.29
Fractional positions:
Ir1 0.0004 0.0004 0.9989
Ir2 0.4996 0.4996 0.5011
Os1 0.7500 0.7500 0.7500
Tc1 0.2500 0.2500 0.2500


TcIr2Os: optimized geometry, GGA-PBE.

Results
Total energy = -9.903 eV/atom

Unit cell a=2.7216 b=3.9028 c=5.4298 alpha=90.00 beta=90.00 gamma=90.00
Fractional positions:
Ir1 0.0000 0.0000 0.0010
Ir2 0.0000 0.0000 0.4990
Os1 0.5000 0.5000 0.2500
Tc1 0.5000 0.5000 0.7500


Tc6IrOs3: optimized geometry, GGA-PBE.

Results
Total energy = -10.017 eV/atom

Unit cell a=4.9965 b=7.8055 c=8.1052 alpha=90.00 beta=89.93 gamma=90.00
Fractional positions:
Tc1 0.4977 0.8398 0.9457
Tc2 0.4984 0.8407 0.5595
Tc3 0.2638 0.8781 0.2528
Tc4 0.7362 0.1219 0.7472
Tc5 0.5016 0.1593 0.4405
Tc6 0.5023 0.1602 0.0543
Tc7 0.9977 0.6602 0.4457
Tc8 0.9984 0.6593 0.0595
Tc9 0.7638 0.6220 0.7528
Tc10 0.2362 0.3780 0.2472
Tc11 0.0016 0.3407 0.9405
Tc12 0.0023 0.3398 0.5543
Ir1 0.5000 0.5000 0.5000
Ir2 0.0000 0.0000 0.0000
Os1 0.2684 0.1208 0.7476
Os2 0.5000 0.5000 0.0000
Os3 0.7316 0.8792 0.2524
Os4 0.7684 0.3793 0.2476
Os5 0.0000 0.0000 0.5000
Os6 0.2316 0.6208 0.7524


TcIrOs3: optimized geometry, GGA-PBE.

Results
Total energy = -10.662 eV/atom

Unit cell a=4.7737 b=7.0316 c=9.1397 alpha=110.84 beta=90.00 gamma=90.00
Fractional positions:
Tc1 0.1663 0.9508 0.5996
Tc2 0.6663 0.5492 0.9004
Tc3 0.8337 0.0492 0.4004
Tc4 0.3337 0.4508 0.0996
Ir1 0.6655 0.7495 0.4996
Ir2 0.3345 0.2505 0.5004
Ir3 0.8345 0.2495 0.9996
Ir4 0.1655 0.7505 0.0004
Os1 0.8342 0.4529 0.6027
Os2 0.6658 0.9529 0.1027
Os3 0.3311 0.6484 0.6998
Os4 0.8311 0.8516 0.8002
Os5 0.6689 0.3516 0.3002
Os6 0.1658 0.5471 0.3973
Os7 0.1676 0.3486 0.8000
Os8 0.8324 0.6514 0.2000
Os9 0.3342 0.0471 0.8973
Os10 0.1689 0.1484 0.1998
Os11 0.3324 0.8486 0.3000
Os12 0.6676 0.1514 0.7000